{
  "formula": "Ga2CuCl8",
  "functional": "PBE",
  "state": "relaxed",
  "dos_ef_per_ev_atom": 0.23,
  "e_form_raw_ev_per_fu": -10.20,
  "crystal_system": "monoclinic",
  "sg": "C2/c, No. 15",
  "cell": [[8.981, -4.351, 0.000], [8.981, 4.351, 0.000], [-7.686, 0.000, 8.913]],
  "species": ["Ga", "Ga", "Ga", "Ga", "Cu", "Cu", "Cl", "Cl", "Cl", "Cl", "Cl", "Cl", "Cl", "Cl", "Cl", "Cl", "Cl", "Cl", "Cl", "Cl", "Cl", "Cl"],
  "frac_coords": [[0.167, 0.676, 0.879], [0.324, 0.833, 0.621], [0.676, 0.167, 0.379], [0.833, 0.324, 0.121], [0.028, 0.972, 0.750], [0.972, 0.028, 0.250], [0.103, 0.170, 0.274], [0.118, 0.708, 0.055], [0.155, 0.701, 0.542], [0.170, 0.103, 0.774], [0.292, 0.882, 0.445], [0.293, 0.394, 0.753], [0.299, 0.845, 0.958], [0.394, 0.293, 0.253], [0.606, 0.707, 0.747], [0.701, 0.155, 0.042], [0.707, 0.606, 0.247], [0.708, 0.118, 0.555], [0.830, 0.897, 0.226], [0.845, 0.299, 0.458], [0.882, 0.292, 0.945], [0.897, 0.830, 0.726]]
}



{
  "formula": "Ga2CuCl6",
  "functional": "PBE",
  "state": "relaxed",
  "dos_ef_per_ev_atom": 0.01,
  "e_form_raw_ev_per_fu": -7.49,
  "relative_energy_mev_per_atom": 0,
  "crystal_system": "monoclinic",
  "sg": "C2/c, No. 15",
  "cell": [[7.486, -6.475, 0.000], [7.486, 6.475, 0.000], [-1.130, 0.000, 6.408]],
  "species": ["Ga", "Ga", "Ga", "Ga", "Cu", "Cu", "Cl", "Cl", "Cl", "Cl", "Cl", "Cl", "Cl", "Cl", "Cl", "Cl", "Cl", "Cl"],
  "frac_coords": [[0.004, 0.830, 0.723], [0.170, 0.996, 0.777], [0.830, 0.004, 0.223], [0.996, 0.170, 0.277], [0.500, 0.500, 0.250], [0.500, 0.500, 0.750], [0.055, 0.624, 0.806], [0.082, 0.204, 0.636], [0.204, 0.082, 0.136], [0.373, 0.418, 0.458], [0.376, 0.945, 0.694], [0.418, 0.373, 0.958], [0.582, 0.627, 0.042], [0.624, 0.055, 0.306], [0.627, 0.582, 0.542], [0.796, 0.918, 0.864], [0.918, 0.796, 0.364], [0.945, 0.376, 0.194]]
}



{
  "formula": "Ga2CuCl8",
  "functional": "PBE",
  "state": "relaxed",
  "e_form_raw_ev_per_fu": -10.46,
  "crystal_system": "monoclinic",
  "sg": "P2_1/c, No. 14",
  "cell": [[7.158, 0.000, 0.000], [0.000, 7.755, 0.000], [-1.499, 0.000, 12.918]],
  "species": ["Ga", "Ga", "Ga", "Ga", "Cu", "Cu", "Cl", "Cl", "Cl", "Cl", "Cl", "Cl", "Cl", "Cl", "Cl", "Cl", "Cl", "Cl", "Cl", "Cl", "Cl", "Cl"],
  "frac_coords": [[0.194, 0.244, 0.182], [0.194, 0.256, 0.682], [0.806, 0.744, 0.318], [0.806, 0.756, 0.818], [0.000, 0.000, 0.500], [0.000, 0.500, 0.000], [0.092, 0.742, 0.917], [0.092, 0.758, 0.417], [0.160, 0.216, 0.842], [0.160, 0.284, 0.342], [0.281, 0.006, 0.606], [0.281, 0.494, 0.106], [0.362, 0.032, 0.142], [0.362, 0.468, 0.642], [0.638, 0.532, 0.358], [0.638, 0.968, 0.858], [0.719, 0.506, 0.894], [0.719, 0.994, 0.394], [0.840, 0.716, 0.658], [0.840, 0.784, 0.158], [0.908, 0.242, 0.583], [0.908, 0.258, 0.083]]
}